# 1
The following is a DFT calculation (PBE-GGA) of an optimized crystal structure of Zr2Mn2Nb.

abc: 3.1288 3.1288 9.4696
angles: 80.49 80.49 90.00
Last column: nearest neighbours and their distance in Å.
Fractional positions:
Mn  0.2500  0.7500  0.5000  4 Mn 2.21
Mn  0.7500  0.2500  0.5000  4 Mn 2.21
Zr  0.6184  0.6184  0.7633  4 Mn 2.89, 4 Nb 3.11, 4 Zr 3.13
Zr  0.3816  0.3816  0.2367  4 Mn 2.89, 4 Nb 3.11, 4 Zr 3.13
Nb  0.0000  0.0000  0.0000  8 Zr 3.11, 4 Nb 3.13

Calculated values
Relative energy among the computed polymorphs (kcal/mol of atoms): 6.88
Calculated formation energy (meV per atom): 320
Space-group type: No. 139

=====

# 2
The following is a DFT calculation (PBE-GGA) of an optimized crystal structure of Zn12FeCu6.

abc: 6.3981 6.3981 6.3981
angles: 89.51 89.51 89.51
Last column: nearest neighbours and their distance in Å.
Fractional positions:
Zn  0.1533  0.0321  0.3707  1 Fe 2.58, 5 Zn 2.59-2.83, 5 Cu 2.61-2.86
Zn  0.4355  0.5273  0.8010  4 Cu 2.55-2.71, 5 Zn 2.61-2.83
Cu  0.8870  0.7338  0.2733  1 Fe 2.54, 8 Zn 2.55-2.75, 2 Cu 2.63
Cu  0.2733  0.8870  0.7338  1 Fe 2.54, 8 Zn 2.55-2.75, 2 Cu 2.63
Cu  0.7338  0.2733  0.8870  1 Fe 2.54, 8 Zn 2.55-2.75, 2 Cu 2.63
Zn  0.6293  0.8467  0.9679  1 Fe 2.58, 5 Zn 2.59-2.83, 5 Cu 2.61-2.86
Cu  0.2662  0.7267  0.1130  1 Fe 2.54, 8 Zn 2.55-2.75, 2 Cu 2.63
Zn  0.4727  0.1990  0.5645  4 Cu 2.55-2.71, 5 Zn 2.61-2.83
Zn  0.3707  0.1533  0.0321  1 Fe 2.58, 5 Zn 2.59-2.83, 5 Cu 2.61-2.86
Zn  0.5273  0.8010  0.4355  4 Cu 2.55-2.71, 5 Zn 2.61-2.83
Cu  0.1130  0.2662  0.7267  1 Fe 2.54, 8 Zn 2.55-2.75, 2 Cu 2.63
Zn  0.9679  0.6293  0.8467  1 Fe 2.58, 5 Zn 2.59-2.83, 5 Cu 2.61-2.86
Cu  0.7267  0.1130  0.2662  1 Fe 2.54, 8 Zn 2.55-2.75, 2 Cu 2.63
Zn  0.1990  0.5645  0.4727  4 Cu 2.55-2.71, 5 Zn 2.61-2.83
Zn  0.8467  0.9679  0.6293  1 Fe 2.58, 5 Zn 2.59-2.83, 5 Cu 2.61-2.86
Fe  0.0000  0.0000  0.0000  6 Cu 2.54, 6 Zn 2.58
Zn  0.8010  0.4355  0.5273  4 Cu 2.55-2.71, 5 Zn 2.61-2.83
Zn  0.0321  0.3707  0.1533  1 Fe 2.58, 5 Zn 2.59-2.83, 5 Cu 2.61-2.86
Zn  0.5645  0.4727  0.1990  4 Cu 2.55-2.71, 5 Zn 2.61-2.83

Calculated values
Calculated formation energy (meV per atom): -44
Space-group type: No. 148

=====

# 3
The following is a DFT calculation (PBE-GGA) of an optimized crystal structure of Ag12S5F3.

abc: 12.8248 12.8248 12.8248
angles: 109.47 109.47 109.47
Last column: nearest neighbours and their distance in Å.
Fractional positions:
S  0.6250  0.7500  0.8750  4 Ag 2.44
Ag  0.6123  0.7323  0.6750  2 S 2.44-2.55, 1 F 2.50
S  0.0000  0.5000  0.0000  6 Ag 2.55
Ag  0.9373  0.1123  0.8800  2 S 2.44-2.55, 1 F 2.50
S  0.7500  0.6250  0.3750  4 Ag 2.44
F  0.2500  0.6250  0.8750  4 Ag 2.50
Ag  0.9427  0.5627  0.1750  2 S 2.44-2.55, 1 F 2.50
F  0.8750  0.1250  0.2500  4 Ag 2.50
S  0.8750  0.6250  0.7500  4 Ag 2.44
F  0.7500  0.3750  0.1250  4 Ag 2.50
Ag  0.1750  0.0627  0.9427  2 S 2.44-2.55, 1 F 2.50
S  0.6250  0.8750  0.2500  4 Ag 2.44
F  0.6250  0.3750  0.7500  4 Ag 2.50
Ag  0.3877  0.2677  0.3250  2 S 2.44-2.55, 1 F 2.50
Ag  0.6123  0.8800  0.4373  2 S 2.44-2.55, 1 F 2.50
F  0.2500  0.1250  0.3750  4 Ag 2.50
S  0.1250  0.7500  0.3750  4 Ag 2.44
Ag  0.4427  0.7677  0.8800  2 S 2.44-2.55, 1 F 2.50
Ag  0.3250  0.7677  0.3877  2 S 2.44-2.55, 1 F 2.50
Ag  0.0573  0.4373  0.8250  2 S 2.44-2.55, 1 F 2.50
Ag  0.8250  0.8877  0.2677  2 S 2.44-2.55, 1 F 2.50
S  0.3750  0.2500  0.1250  4 Ag 2.44
Ag  0.2677  0.3877  0.8250  2 S 2.44-2.55, 1 F 2.50
F  0.7500  0.8750  0.6250  4 Ag 2.50
F  0.1250  0.8750  0.7500  4 Ag 2.50
S  0.1250  0.3750  0.2500  4 Ag 2.44
Ag  0.6750  0.2323  0.6123  2 S 2.44-2.55, 1 F 2.50
Ag  0.1200  0.3877  0.0627  2 S 2.44-2.55, 1 F 2.50
Ag  0.0627  0.8877  0.1200  2 S 2.44-2.55, 1 F 2.50
S  0.2500  0.3750  0.6250  4 Ag 2.44
Ag  0.7323  0.1200  0.0573  2 S 2.44-2.55, 1 F 2.50
Ag  0.9427  0.3800  0.2677  2 S 2.44-2.55, 1 F 2.50
Ag  0.1123  0.9373  0.3800  2 S 2.44-2.55, 1 F 2.50
Ag  0.1750  0.1123  0.7323  2 S 2.44-2.55, 1 F 2.50
Ag  0.7677  0.4427  0.3800  2 S 2.44-2.55, 1 F 2.50
Ag  0.1200  0.7323  0.5573  2 S 2.44-2.55, 1 F 2.50
Ag  0.7677  0.3250  0.8877  2 S 2.44-2.55, 1 F 2.50
S  0.0000  0.0000  0.5000  6 Ag 2.55
S  0.0000  0.0000  0.0000  6 Ag 2.55
Ag  0.4373  0.0573  0.3250  2 S 2.44-2.55, 1 F 2.50
Ag  0.6200  0.0573  0.2323  2 S 2.44-2.55, 1 F 2.50
S  0.5000  0.5000  0.5000  6 Ag 2.55
Ag  0.1123  0.1750  0.2323  2 S 2.44-2.55, 1 F 2.50
F  0.1250  0.2500  0.8750  4 Ag 2.50
Ag  0.5573  0.3250  0.9373  2 S 2.44-2.55, 1 F 2.50
Ag  0.8877  0.0627  0.6200  2 S 2.44-2.55, 1 F 2.50
F  0.6250  0.2500  0.3750  4 Ag 2.50
Ag  0.3877  0.1200  0.5627  2 S 2.44-2.55, 1 F 2.50
Ag  0.8800  0.6123  0.9373  2 S 2.44-2.55, 1 F 2.50
S  0.2500  0.8750  0.1250  4 Ag 2.44
Ag  0.3800  0.4373  0.1123  2 S 2.44-2.55, 1 F 2.50
Ag  0.0573  0.6200  0.7323  2 S 2.44-2.55, 1 F 2.50
S  0.3750  0.1250  0.7500  4 Ag 2.44
Ag  0.2323  0.6750  0.1123  2 S 2.44-2.55, 1 F 2.50
Ag  0.8877  0.8250  0.7677  2 S 2.44-2.55, 1 F 2.50
Ag  0.8800  0.2677  0.4427  2 S 2.44-2.55, 1 F 2.50
Ag  0.3800  0.9427  0.7677  2 S 2.44-2.55, 1 F 2.50
Ag  0.7323  0.6123  0.1750  2 S 2.44-2.55, 1 F 2.50
Ag  0.2677  0.8800  0.9427  2 S 2.44-2.55, 1 F 2.50
F  0.3750  0.7500  0.6250  4 Ag 2.50
Ag  0.5627  0.9427  0.6750  2 S 2.44-2.55, 1 F 2.50
S  0.5000  0.0000  0.0000  6 Ag 2.55
Ag  0.6200  0.5627  0.8877  2 S 2.44-2.55, 1 F 2.50
Ag  0.0627  0.1750  0.4427  2 S 2.44-2.55, 1 F 2.50
Ag  0.3250  0.5573  0.4373  2 S 2.44-2.55, 1 F 2.50
S  0.5000  0.0000  0.5000  6 Ag 2.55
S  0.0000  0.5000  0.5000  6 Ag 2.55
Ag  0.2323  0.5573  0.6200  2 S 2.44-2.55, 1 F 2.50
Ag  0.8250  0.9373  0.0573  2 S 2.44-2.55, 1 F 2.50
F  0.8750  0.7500  0.1250  4 Ag 2.50
Ag  0.6750  0.4427  0.5627  2 S 2.44-2.55, 1 F 2.50
S  0.7500  0.1250  0.8750  4 Ag 2.44
S  0.5000  0.5000  0.0000  6 Ag 2.55
Ag  0.5627  0.6200  0.3877  2 S 2.44-2.55, 1 F 2.50
Ag  0.4427  0.6750  0.0627  2 S 2.44-2.55, 1 F 2.50
Ag  0.4373  0.3800  0.6123  2 S 2.44-2.55, 1 F 2.50
S  0.8750  0.2500  0.6250  4 Ag 2.44
Ag  0.9373  0.8250  0.5573  2 S 2.44-2.55, 1 F 2.50
F  0.3750  0.6250  0.2500  4 Ag 2.50
Ag  0.5573  0.2323  0.1200  2 S 2.44-2.55, 1 F 2.50

Calculated values
Uncorrected formation energy (eV per atom): -0.215
Space-group type: No. 230

=====

# 4
The following is a DFT calculation (PBE-GGA) of an optimized crystal structure of Cs3ReI6.

abc: 8.9624 8.9624 8.9624
angles: 60.00 60.00 90.00
Last column: nearest neighbours and their distance in Å.
Fractional positions:
Re  0.0000  0.0000  0.0000  6 I 2.75
I  0.2167  0.7833  0.0000  1 Re 2.75
Cs  0.5000  0.5000  0.0000  6 I 3.59
I  0.7833  0.2167  0.0000  1 Re 2.75
Cs  0.2500  0.7500  0.5000  12 I 4.50
I  0.2168  0.2168  0.5665  1 Re 2.75
I  0.7833  0.7833  0.0000  1 Re 2.75
I  0.7832  0.7832  0.4335  1 Re 2.75
I  0.2167  0.2167  0.0000  1 Re 2.75
Cs  0.7500  0.2500  0.5000  12 I 4.50

Calculated values
Uncorrected formation energy (eV per atom): -0.769
Space-group type: No. 225

=====

# 5
The following is a DFT calculation (PBE-GGA) of an optimized crystal structure of CaTeAu2.

abc: 6.8516 6.8516 6.8516
angles: 145.90 145.32 49.43
Last column: nearest neighbours and their distance in Å.
Fractional positions:
Au  0.9496  0.9496  0.0000  4 Ca 3.08, 2 Au 3.10, 2 Te 3.22
Au  0.7597  0.2597  0.5000  4 Te 2.87, 2 Au 3.10
Te  0.2493  0.7493  0.5000  4 Au 2.87
Ca  0.5414  0.5414  0.0000  6 Au 3.08-3.38, 2 Te 3.30

Calculated values
Relative energy among the computed polymorphs (kcal/mol of atoms): 2.23
Uncorrected formation energy (eV per atom): -0.489
Space-group type: No. 44

=====

# 6
The following is a DFT calculation (PBE-GGA) of an optimized crystal structure of Tl2SbH2Pd7.

abc: 4.1033 4.1033 11.6475
angles: 75.29 75.29 89.92
Last column: nearest neighbours and their distance in Å.
Fractional positions:
Pd  0.5000  0.5000  0.0000  2 H 2.17
Sb  0.0000  0.0000  0.0000  12 Pd 2.84-2.90
Pd  0.8747  0.3785  0.1845  2 H 1.97-2.15
Tl  0.2543  0.2543  0.6170  9 Pd 2.82-3.01
Pd  0.2397  0.2397  0.3779  1 H 1.95
Pd  0.7603  0.7603  0.6221  1 H 1.95
H  0.3423  0.3423  0.1990  6 Pd 1.95-2.17
Pd  0.6215  0.1253  0.8155  2 H 1.97-2.15
Pd  0.3785  0.8747  0.1845  2 H 1.97-2.15
H  0.6577  0.6577  0.8010  6 Pd 1.95-2.17
Tl  0.7457  0.7457  0.3830  9 Pd 2.82-3.01
Pd  0.1253  0.6215  0.8155  2 H 1.97-2.15

Calculated values
Space-group type: No. 12

=====

# 7
The following is a DFT calculation (PBE-GGA) of an optimized crystal structure of LiB2Pd4.

abc: 2.9003 4.5260 16.1081
angles: 90.00 90.00 108.69
Last column: nearest neighbours and their distance in Å.
Fractional positions:
Pd  0.5000  0.0000  0.0000  6 B 2.32-2.54
Pd  0.8240  0.6481  0.7500  3 Li 2.33-2.44
Pd  0.7622  0.5243  0.3848  3 B 2.15-2.22
B  0.2066  0.4132  0.4785  2 B 1.77
Pd  0.7622  0.5243  0.1152  3 B 2.15-2.22
B  0.7934  0.5868  0.5215  2 B 1.77
Li  0.4473  0.8946  0.2500  3 Pd 2.33-2.44
B  0.2066  0.4132  0.0215  2 B 1.77
Pd  0.2378  0.4757  0.8848  3 B 2.15-2.22
Pd  0.1760  0.3519  0.2500  3 Li 2.33-2.44
Pd  0.5000  0.0000  0.5000  6 B 2.32-2.54
Pd  0.2378  0.4757  0.6152  3 B 2.15-2.22
B  0.7934  0.5868  0.9785  2 B 1.77
Li  0.5527  0.1054  0.7500  3 Pd 2.33-2.44

Calculated values
Relative energy among the computed polymorphs (kcal/mol of atoms): 5.18
Calculated formation energy (meV per atom): -22
Space-group type: No. 63

=====

# 8
The following is a DFT calculation (PBE-GGA) of an optimized crystal structure of MgScB.

abc: 11.6848 3.1747 3.1746
angles: 120.00 89.99 82.20
Last column: nearest neighbours and their distance in Å.
Fractional positions:
B  0.6551  0.1694  0.1002  3 B 1.83
Mg  0.2697  0.4264  0.2284  9 Mg 3.17-3.21, 3 Sc 3.30
B  0.6562  0.5021  0.7666  3 B 1.83
Sc  0.5077  0.9344  0.4828  6 B 2.50-2.51
Mg  0.0417  0.2451  0.6377  9 Mg 3.17-3.21, 3 Sc 3.30
Sc  0.8036  0.7371  0.3840  6 B 2.50-2.51

Calculated values
Relative energy among the computed polymorphs (kcal/mol of atoms): 0.63
Calculated formation energy (meV per atom): -398
Space-group type: No. 166

=====

| no. | magnetic moment (μB/cell) | total energy (eV per atom) |
| --- | --- | --- |
| 1 | 0.0 | -8.781 |
| 2 | 2.9 | -2.587 |
| 3 | 0.0 | -3.238 |
| 4 | 2.0 | -3.200 |
| 5 | 0.0 | -3.413 |
| 6 | 0.0 | -4.550 |
| 7 | 0.0 | -5.170 |
| 8 | 0.0 | -5.266 |